# Ca2InSe4 (PBE-GGA, relaxed)
# Raw total energy: -3.88 eV per atom
data_Ca2InSe4
_chemical_formula_sum 'Ca2 In1 Se4'
_cell_length_a 8.2334
_cell_length_b 8.2334
_cell_length_c 8.2334
_cell_angle_alpha 142.49
_cell_angle_beta 142.49
_cell_angle_gamma 54.09
_space_group_name_H-M_alt 'P 1'
_space_group_IT_number 1
_space_group_name_Hall 'P 1'
loop_
_atom_site_label
_atom_site_type_symbol
_atom_site_fract_x
_atom_site_fract_y
_atom_site_fract_z
Ca1 Ca 0.1267 0.1267 0.0000
Ca2 Ca 0.8733 0.8733 0.0000
In1 In 0.5000 0.5000 0.0000
Se1 Se 0.0000 0.5000 0.5000
Se2 Se 0.3160 0.3160 0.0000
Se3 Se 0.5000 0.0000 0.5000
Se4 Se 0.6840 0.6840 0.0000


# CaIn4Se7 (PBE-GGA, relaxed)
# Raw total energy: -3.84 eV per atom
data_CaIn4Se7
_chemical_formula_sum 'Ca2 In8 Se14'
_cell_length_a 16.7098
_cell_length_b 6.9683
_cell_length_c 6.8208
_cell_angle_alpha 90.00
_cell_angle_beta 90.00
_cell_angle_gamma 90.00
_space_group_name_H-M_alt 'P 1'
_space_group_IT_number 1
_space_group_name_Hall 'P 1'
loop_
_atom_site_label
_atom_site_type_symbol
_atom_site_fract_x
_atom_site_fract_y
_atom_site_fract_z
Ca1 Ca 0.0000 0.0538 0.0000
Ca2 Ca 0.5000 0.9462 0.5000
In1 In 0.1207 0.6370 0.8220
In2 In 0.2466 0.8470 0.3144
In3 In 0.2534 0.1530 0.8144
In4 In 0.3793 0.3630 0.3220
In5 In 0.6207 0.3630 0.3220
In6 In 0.7466 0.1530 0.8144
In7 In 0.7534 0.8470 0.3144
In8 In 0.8793 0.6370 0.8220
Se1 Se 0.0000 0.8135 0.6562
Se2 Se 0.1061 0.7414 0.1907
Se3 Se 0.1110 0.2761 0.7246
Se4 Se 0.2414 0.2147 0.2029
Se5 Se 0.2586 0.7853 0.7029
Se6 Se 0.3890 0.7239 0.2246
Se7 Se 0.3939 0.2586 0.6907
Se8 Se 0.5000 0.1865 0.1562
Se9 Se 0.6061 0.2586 0.6907
Se10 Se 0.6110 0.7239 0.2246
Se11 Se 0.7414 0.7853 0.7029
Se12 Se 0.7586 0.2147 0.2029
Se13 Se 0.8890 0.2761 0.7246
Se14 Se 0.8939 0.7414 0.1907